A plane-wave DFT calculation with PBE-GGA was carried out for crystalline BeBr3 at its relaxed geometry.

The structure in POSCAR format:
```
BeBr3
1.0
3.451 9.254 11.701
6.366 11.639 7.647
-7.081 -8.850 -10.296
Br Be
6 2
Direct
0.000 0.500 0.500
0.750 0.250 0.500
0.129 0.129 0.000
0.871 0.871 0.000
0.250 0.750 0.500
0.500 0.000 0.500
0.369 0.369 0.000
0.631 0.631 0.000
```

## Properties
The uncorrected formation energy is 0.452 eV per atom. For the total energy, the calculation gives -6.9 eV/f.u. As for the space-group type: I4/mmm. As for the energy above the most stable polymorph in this dataset: 3.82 eV/f.u. The total moment is 0.000 Bohr magnetons per cell.

---

A plane-wave DFT calculation with PBE-GGA was carried out for crystalline Li5AlGa at its relaxed geometry.

The structure in POSCAR format:
```
Li5AlGa
1.0
5.468 0.629 -0.604
2.332 4.986 -0.604
1.922 1.384 9.044
Al Li Ga
2 10 2
Direct
0.268 0.732 0.750
0.732 0.268 0.250
0.750 0.250 0.750
0.640 0.645 0.474
0.768 0.780 0.701
0.780 0.768 0.201
0.645 0.640 0.974
0.360 0.355 0.526
0.250 0.750 0.250
0.220 0.232 0.799
0.232 0.220 0.299
0.355 0.360 0.026
0.000 0.000 0.500
0.000 0.000 0.000
```

## Properties
For the total energy, the calculation gives -17.1 eV/f.u. As for the space-group type: C2/c. Its formation energy is -0.10 eV per atom. The total moment is 0.000 Bohr magnetons per cell.

---

A plane-wave DFT calculation with PBE-GGA was carried out for crystalline MgZr2Mo at its relaxed geometry.

The structure in POSCAR format:
```
MgZr2Mo
1.0
-1.251 1.899 -3.903
0.423 -2.629 -1.415
-5.508 -2.949 0.330
Mg Mo Zr
1 1 2
Direct
0.500 0.250 0.250
0.500 0.750 0.750
0.000 0.591 0.523
0.000 0.909 0.977
```

## Properties
For the total energy, the calculation gives -29.1 eV/f.u. As for the space-group type: P2/m. As for the energy above the most stable polymorph in this dataset: 0.48 eV/f.u. Its formation energy is 0.10 eV per atom. The total moment is 0.000 Bohr magnetons per cell.

---

A plane-wave DFT calculation with PBE-GGA was carried out for crystalline LiTlMo2 at its relaxed geometry.

The structure in POSCAR format:
```
LiTlMo2
1.0
5.160 0.001 0.005
-2.246 5.048 0.001
0.667 0.737 2.630
Tl Mo Li
1 2 1
Direct
0.000 0.500 0.500
0.000 0.000 0.000
0.500 0.000 0.500
0.500 0.500 0.000
```

## Properties
For the total energy, the calculation gives -23.8 eV/f.u. As for the space-group type: C2/m. As for the energy above the most stable polymorph in this dataset: 0.98 eV/f.u. Its formation energy is 0.53 eV per atom. The total moment is 0.000 Bohr magnetons per cell.

---

A plane-wave DFT calculation with PBE-GGA was carried out for crystalline LaThS2 at its relaxed geometry.

The structure in POSCAR format:
```
LaThS2
1.0
-1.368 3.541 -1.104
-1.783 2.341 2.640
5.406 4.980 2.196
Th S La
1 2 1
Direct
0.496 0.496 0.511
0.249 0.249 0.254
0.085 0.085 0.746
0.670 0.670 0.989
```

## Properties
The uncorrected formation energy is -1.873 eV per atom. For the total energy, the calculation gives -28.1 eV/f.u. As for the space-group type: R3m. As for the energy above the most stable polymorph in this dataset: 0.51 eV/f.u. The total moment is 0.000 Bohr magnetons per cell.

---

A plane-wave DFT calculation with PBE-GGA was carried out for crystalline SrZn2Ag at its relaxed geometry.

The structure in POSCAR format:
```
SrZn2Ag
1.0
6.480 0.000 0.000
0.000 7.135 0.000
0.000 0.000 7.914
Sr Zn Ag
4 8 4
Direct
0.132 0.250 0.529
0.632 0.750 0.971
0.868 0.750 0.471
0.368 0.250 0.029
0.428 0.565 0.341
0.072 0.935 0.841
0.572 0.065 0.659
0.572 0.435 0.659
0.428 0.935 0.341
0.072 0.565 0.841
0.928 0.435 0.159
0.928 0.065 0.159
0.340 0.750 0.640
0.660 0.250 0.360
0.160 0.750 0.140
0.840 0.250 0.860
```

## Properties
For the total energy, the calculation gives -7.9 eV/f.u. As for the space-group type: Pnma. Its formation energy is -0.20 eV per atom. The total moment is 0.000 Bohr magnetons per cell.

---

A plane-wave DFT calculation with PBE-GGA was carried out for crystalline TlCuSe2 at its relaxed geometry.

The structure in POSCAR format:
```
TlCuSe2
1.0
-1.713 3.193 1.074
-1.060 0.458 3.599
5.564 4.182 3.091
Tl Se Cu
1 2 1
Direct
0.500 0.500 0.501
0.060 0.060 0.820
0.273 0.273 0.181
0.667 0.667 0.998
```

## Properties
The uncorrected formation energy is -0.111 eV per atom. For the total energy, the calculation gives -13.9 eV/f.u. As for the space-group type: R3m. The total moment is 0.000 Bohr magnetons per cell.

---

A plane-wave DFT calculation with PBE-GGA was carried out for crystalline TaTiRu5 at its relaxed geometry.

The structure in POSCAR format:
```
TaTiRu5
1.0
4.242 0.000 0.000
0.000 4.242 0.000
0.000 0.000 6.090
Ru Ta Ti
5 1 1
Direct
0.500 0.000 0.227
0.500 0.000 0.773
0.000 0.500 0.773
0.000 0.500 0.227
0.500 0.500 0.500
0.000 0.000 0.500
0.500 0.500 0.000
```

## Properties
For the total energy, the calculation gives -65.9 eV/f.u. As for the space-group type: P4/mmm. Its formation energy is 0.03 eV per atom. The total moment is 0.001 Bohr magnetons per cell.

---

A plane-wave DFT calculation with PBE-GGA was carried out for crystalline La2ScCr at its relaxed geometry.

The structure in POSCAR format:
```
La2ScCr
1.0
6.436 -0.022 -0.145
5.361 3.562 -0.145
2.422 0.727 4.834
Sc La Cr
1 2 1
Direct
0.539 0.539 0.460
0.971 0.971 0.028
0.753 0.753 0.747
0.236 0.236 0.264
```

## Properties
For the total energy, the calculation gives -24.8 eV/f.u. As for the space-group type: Cm. As for the energy above the most stable polymorph in this dataset: 0.01 eV/f.u. Its formation energy is 0.26 eV per atom. The total moment is 3.267 Bohr magnetons per cell.

---

A plane-wave DFT calculation with PBE-GGA was carried out for crystalline Ta2ReMo at its relaxed geometry.

The structure in POSCAR format:
```
Ta2ReMo
1.0
4.529 0.000 0.000
0.000 2.829 0.001
0.000 0.989 5.191
Ta Re Mo
2 1 1
Direct
0.500 0.261 0.254
0.000 0.990 0.995
0.500 0.748 0.752
0.000 0.501 0.499
```

## Properties
For the total energy, the calculation gives -47.8 eV/f.u. As for the space-group type: Pm. As for the energy above the most stable polymorph in this dataset: 0.59 eV/f.u. Its formation energy is -0.20 eV per atom. The total moment is 0.000 Bohr magnetons per cell.

---

A plane-wave DFT calculation with PBE-GGA was carried out for crystalline Ho5MgIn3 at its relaxed geometry.

The structure in POSCAR format:
```
Ho5MgIn3
1.0
6.588 0.000 0.000
0.000 9.250 0.000
0.000 -4.625 8.011
Ho Mg In
10 2 6
Direct
0.250 0.000 0.695
0.000 0.333 0.667
0.250 0.695 0.000
0.750 0.695 0.695
0.500 0.667 0.333
0.750 0.305 0.000
0.500 0.333 0.667
0.250 0.305 0.305
0.000 0.667 0.333
0.750 0.000 0.305
0.000 0.000 0.000
0.500 0.000 0.000
0.750 0.000 0.643
0.750 0.643 0.000
0.250 0.643 0.643
0.750 0.357 0.357
0.250 0.357 0.000
0.250 0.000 0.357
```

## Properties
For the total energy, the calculation gives -36.0 eV/f.u. As for the space-group type: P6_3/mcm. Its formation energy is -0.37 eV per atom. The total moment is 0.001 Bohr magnetons per cell.

---

A plane-wave DFT calculation with PBE-GGA was carried out for crystalline NaFe2Os2 at its relaxed geometry.

The structure in POSCAR format:
```
NaFe2Os2
1.0
-5.942 2.407 3.854
3.689 -1.149 6.405
0.911 2.399 -0.094
Fe Os Na
4 4 2
Direct
0.164 0.664 0.500
0.664 0.836 0.500
0.336 0.164 0.500
0.836 0.336 0.500
0.374 0.874 0.000
0.126 0.374 0.000
0.874 0.626 0.000
0.626 0.126 0.000
0.500 0.500 0.000
0.000 0.000 0.000
```

## Properties
For the total energy, the calculation gives -38.6 eV/f.u. As for the space-group type: P4/mbm. As for the energy above the most stable polymorph in this dataset: 0.00 eV/f.u. Its formation energy is 0.42 eV per atom. The total moment is 2.634 Bohr magnetons per cell.

---

Q: Among the records above, which one has the highest total moment?
A: La2ScCr